1.
Computed, not measured: a relaxed structure of Sr3La at the PBE level of DFT.

Output
* relative energy among the computed polymorphs: 0.8580 eV/atom
* uncorrected energy: -6.17 eV for the cell shown
* D(E_F): 2.5 states/eV per cell
* calculated formation energy: 952 meV/atom
* space-group type: No. 221

Geometry as extended XYZ:
```
4
Lattice="7.0606 0.0000 0.0000 0.0000 7.0606 0.0000 0.0000 0.0000 7.0606" Properties=species:S:1:pos:R:3 pbc="T T T"
Sr 0.0000 0.0000 3.5303
Sr 0.0000 3.5303 0.0000
Sr 3.5303 0.0000 0.0000
La 0.0000 0.0000 0.0000
```

2.
Computed, not measured: a relaxed structure of Ir2PbAu at the PBE level of DFT.

Output
* uncorrected energy: -22.54 eV for the cell shown
* D(E_F): 3.5 states/eV per cell
* calculated formation energy: 543 meV/atom
* space-group type: No. 10

Geometry as extended XYZ:
```
4
Lattice="3.0110 0.0000 0.0000 0.0000 4.7263 0.0000 -0.1433 0.0000 5.0883" Properties=species:S:1:pos:R:3 pbc="T T T"
Ir 0.6646 0.0000 1.3665
Ir 2.2030 0.0000 3.7218
Pb 1.5055 2.3632 0.0000
Au -0.0717 2.3632 2.5442
```

3.
Computed, not measured: a relaxed structure of ErReSi2Tc at the PBE level of DFT.

Output
* uncorrected formation energy: -540 meV per atom
* uncorrected energy: -40.92 eV for the cell shown
* D(E_F): 4.9 states/eV per cell
* space-group type: No. 119

Geometry as extended XYZ:
```
5
Lattice="-2.0569 2.0569 5.0478 2.0569 -2.0569 5.0478 2.0569 2.0569 -5.0478" Properties=species:S:1:pos:R:3 pbc="T T T"
Er 0.0000 0.0000 0.0000
Re 0.0000 2.0569 2.5239
Si 0.0000 0.0000 3.8266
Si 0.0000 0.0000 6.2689
Tc 2.0569 0.0000 2.5239
```

4.
Computed, not measured: a relaxed structure of Ho3TiFe8 at the PBE level of DFT.

Output
* uncorrected energy: -90.91 eV for the cell shown
* D(E_F): 12.6 states/eV per cell
* calculated formation energy: -132 meV/atom
* space-group type: No. 160

Geometry as extended XYZ:
```
12
Lattice="2.5196 1.4547 8.2306 -2.5196 1.4547 8.2306 0.0000 -2.9094 8.2306" Properties=species:S:1:pos:R:3 pbc="T T T"
Ho 0.0000 0.0000 0.0000
Ho 0.0000 0.0000 3.1188
Ho 0.0000 0.0000 12.4404
Ti 0.0000 0.0000 15.4857
Fe -1.2711 -0.7339 9.7507
Fe 0.0000 -1.4584 5.7532
Fe -1.2630 0.7292 5.7532
Fe 0.0000 0.0000 7.7433
Fe 1.2711 -0.7339 9.7507
Fe 0.0000 1.4677 9.7507
Fe 1.2630 0.7292 5.7532
Fe 0.0000 0.0000 20.1035
```